The following is a GGA-PBE calculation of a relaxed Th4GaOs crystal, from Alexandria via LeMat-Bulk.

Cell and atoms, written as CIF:
```
data_Th4GaOs
_chemical_formula_sum 'Th8 Ga2 Os2'
_cell_length_a 6.925
_cell_length_b 7.454
_cell_length_c 8.609
_cell_angle_alpha 110.33
_cell_angle_beta 108.07
_cell_angle_gamma 102.27
_symmetry_space_group_name_H-M 'P 1'
_symmetry_Int_Tables_number 1
loop_
_symmetry_equiv_pos_as_xyz
'x,y,z'
loop_
_atom_site_label
_atom_site_type_symbol
_atom_site_fract_x
_atom_site_fract_y
_atom_site_fract_z
Th1 Th 0.047 0.804 0.078
Th2 Th 0.469 0.726 0.922
Th3 Th 0.531 0.274 0.078
Os1 Os 0.160 0.910 0.819
Th4 Th 0.240 0.391 0.441
Ga1 Ga 0.634 0.384 0.768
Th5 Th 0.298 0.950 0.559
Th6 Th 0.760 0.609 0.559
Th7 Th 0.702 0.050 0.441
Th8 Th 0.953 0.196 0.922
Ga2 Ga 0.366 0.616 0.232
Os2 Os 0.840 0.090 0.181
```

Results
The uncorrected energy is -7.45 eV per atom. As for the volume: 30.81 Å³/atom. As for the calculated formation energy: -12.06 kJ per mole of atoms. Its energy above the most stable polymorph in this dataset is 189.3 meV per atom. The density comes out at 10674 kg/m3.